A plane-wave DFT calculation with PBE-GGA was carried out for an optimized crystal structure of Y2Ni3Ge5.

V, Å³/atom: 16.8
Relative energy among the computed polymorphs, meV/atom: 72
Calculated formation energy, eV/atom: -0.56

```
data_Y2Ni3Ge5
_symmetry_space_group_name_H-M 'C m c 21'
_symmetry_Int_Tables_number 36
_cell_length_a 4.127
_cell_length_b 24.146
_cell_length_c 6.750
_cell_angle_alpha 90.00
_cell_angle_beta 90.00
_cell_angle_gamma 90.00
loop_
_symmetry_equiv_pos_as_xyz
'x,y,z'
'-x,-y,z+1/2'
'-x,y,z'
'x,-y,z+1/2'
'x+1/2,y+1/2,z'
'-x+1/2,-y+1/2,z+1/2'
'-x+1/2,y+1/2,z'
'x+1/2,-y+1/2,z+1/2'
loop_
_atom_site_label
_atom_site_type_symbol
_atom_site_fract_x
_atom_site_fract_y
_atom_site_fract_z
Y1 Y 0.000 0.023 0.000
Y2 Y 0.000 0.326 0.010
Ni1 Ni 0.000 0.107 0.272
Ni2 Ni 0.000 0.279 0.481
Ni3 Ni 0.000 0.446 0.217
Ge1 Ge 0.000 0.095 0.635
Ge2 Ge 0.000 0.203 0.196
Ge3 Ge 0.000 0.214 0.786
Ge4 Ge 0.000 0.380 0.514
Ge5 Ge 0.000 0.450 0.834
```